(1)
## BaGeBr (PBE-GGA)

Data for a relaxed BaGeBr crystal.

- calculated density (g cm⁻³) = 4.30
- E_form (uncorrected) (eV/atom) = -1.2553
- offset from the most stable computed form (meV/atom) = 0
- calculated total energy (eV/atom) = -3.993

abc: 4.5455 4.5463 12.4966
angles: 90.26 89.92 60.01
Last column: nearest neighbours and their distance in Å.
Sites, in units of the cell vectors:
Br (0.6620, 0.1735, 0.3516)  3 Ba 3.19
Br (0.3380, 0.8265, 0.6484)  3 Ba 3.19
Ge (0.3329, 0.8340, 0.0347)  3 Ge 2.76
Ge (0.6671, 0.1660, 0.9653)  3 Ge 2.76
Ba (0.9972, 0.5041, 0.2066)  3 Br 3.19, 3 Ge 3.39
Ba (0.0028, 0.4959, 0.7934)  3 Br 3.19, 3 Ge 3.39

(2)
## RbScPdAu2 (PBE-GGA)

Data for a relaxed RbScPdAu2 crystal.

- calculated density (g cm⁻³) = 6.31
- DFT formation energy (kcal/mol of atoms) = 16.4
- calculated total energy (eV/atom) = -3.097

abc: 5.0953 6.3933 5.0953
angles: 90.00 90.00 90.00
Last column: nearest neighbours and their distance in Å.
Sites, in units of the cell vectors:
Rb (0.0000, 0.5000, 0.0000)  2 Sc 3.20
Pd (0.5000, 0.5000, 0.5000)  4 Rb 3.60
Sc (0.0000, 0.0000, 0.0000)  4 Au 2.55
Au (0.5000, 0.0000, 0.0000)  2 Sc 2.55
Au (0.0000, 0.0000, 0.5000)  2 Sc 2.55

(3)
## Mg2ZrPt (PBE-GGA)

Data for a relaxed Mg2ZrPt crystal.

- calculated density (g cm⁻³) = 7.34
- DFT formation energy (kcal/mol of atoms) = -8.4
- calculated total energy (eV/atom) = -4.809

abc: 4.6510 2.9641 5.6444
angles: 76.92 90.00 90.00
Last column: nearest neighbours and their distance in Å.
Sites, in units of the cell vectors:
Pt (0.5000, 0.2500, 0.2500)  4 Mg 2.76, 2 Zr 2.88, 2 Pt 2.96
Zr (0.5000, 0.7500, 0.7500)  2 Pt 2.88, 2 Zr 2.96, 8 Mg 3.07-3.21
Mg (0.0000, 0.4160, 0.4793)  2 Pt 2.76, 5 Mg 2.88-2.99, 2 Zr 3.07
Mg (0.0000, 0.0840, 0.0207)  2 Pt 2.76, 5 Mg 2.88-2.99, 2 Zr 3.07

(4)
## TaPbBr2 (PBE-GGA)

Data for a relaxed TaPbBr2 crystal.

- calculated density (g cm⁻³) = 8.60
- E_form (uncorrected) (eV/atom) = 0.7245
- offset from the most stable computed form (meV/atom) = 906
- calculated total energy (eV/atom) = -4.002

abc: 6.5809 6.5809 6.5809
angles: 142.31 142.31 54.36
Last column: nearest neighbours and their distance in Å.
Sites, in units of the cell vectors:
Ta (0.7500, 0.2500, 0.5000)  4 Br 3.01
Pb (0.5000, 0.5000, 0.0000)  4 Br 3.01
Br (0.0000, 0.0000, 0.0000)  4 Pb 3.01
Br (0.2500, 0.7500, 0.5000)  4 Ta 3.01

(5)
## Sm2VCo (PBE-GGA)

Data for a relaxed Sm2VCo crystal.

- calculated density (g cm⁻³) = 6.69
- DFT formation energy (kcal/mol of atoms) = 16.0
- calculated total energy (eV/atom) = -5.723

abc: 3.5281 3.5281 9.6768
angles: 79.50 79.50 60.00
Last column: nearest neighbours and their distance in Å.
Sites, in units of the cell vectors:
Co (0.5000, 0.5000, 0.5000)  6 Sm 2.69
Sm (0.1050, 0.1050, 0.6850)  3 Co 2.69, 1 V 2.98
Sm (0.8950, 0.8950, 0.3150)  3 Co 2.69, 1 V 2.98
V (0.0000, 0.0000, 0.0000)  2 Sm 2.98

(6)
## Pr6MgAl (PBE-GGA)

Data for a relaxed Pr6MgAl crystal.

- calculated density (g cm⁻³) = 5.79
- offset from the most stable computed form (meV/atom) = 0
- DFT formation energy (kcal/mol of atoms) = -2.3
- calculated total energy (eV/atom) = -4.350

abc: 5.2895 5.2895 9.9290
angles: 74.55 74.56 90.00
Last column: nearest neighbours and their distance in Å.
Sites, in units of the cell vectors:
Al (0.5000, 0.5000, 0.0000)  8 Pr 3.31
Pr (0.8918, 0.3917, 0.2166)  2 Al 3.31, 2 Mg 3.31, 1 Pr 3.71
Pr (0.1082, 0.6083, 0.7834)  2 Al 3.31, 2 Mg 3.31, 1 Pr 3.71
Pr (0.3919, 0.8917, 0.2166)  2 Mg 3.31, 2 Al 3.31, 1 Pr 3.71
Pr (0.7491, 0.7496, 0.5008)  12 Pr 3.71-3.74
Pr (0.2509, 0.2504, 0.4992)  12 Pr 3.71-3.74
Pr (0.6081, 0.1083, 0.7834)  2 Mg 3.31, 2 Al 3.31, 1 Pr 3.71
Mg (0.0000, 0.0000, 0.0000)  8 Pr 3.31

(7)
## MnTeSe2 (PBE-GGA)

Data for a relaxed MnTeSe2 crystal.

- calculated density (g cm⁻³) = 6.76
- E_form (uncorrected) (eV/atom) = 0.4189
- calculated total energy (eV/atom) = -4.401

abc: 4.9067 4.9067 4.9067
angles: 119.92 119.92 90.14
Last column: nearest neighbours and their distance in Å.
Sites, in units of the cell vectors:
Te (0.5000, 0.5000, 0.0000)  4 Mn 3.01, 4 Se 3.01
Mn (0.7500, 0.2500, 0.5000)  4 Se 3.01, 4 Te 3.01
Se (0.2500, 0.7500, 0.5000)  4 Te 3.01, 4 Se 3.01
Se (0.0000, 0.0000, 0.0000)  4 Mn 3.01, 4 Se 3.01

(8)
## Ir2RuW (PBE-GGA)

Data for a relaxed Ir2RuW crystal.

- calculated density (g cm⁻³) = 18.94
- offset from the most stable computed form (meV/atom) = 17
- DFT formation energy (kcal/mol of atoms) = -5.7
- calculated total energy (eV/atom) = -10.237

abc: 4.3886 2.7735 4.8214
angles: 90.00 90.00 90.00
Last column: nearest neighbours and their distance in Å.
Sites, in units of the cell vectors:
Ir (0.5000, 0.1249, 0.2991)  4 Ru 2.70, 4 W 2.72-2.84, 4 Ir 2.73-2.77
Ir (0.0000, 0.1251, 0.9621)  4 Ir 2.73-2.77, 4 W 2.73, 4 Ru 2.75-2.81
Ru (0.0000, 0.6249, 0.4544)  8 Ir 2.70-2.81, 2 W 2.71, 2 Ru 2.77
W (0.5000, 0.6251, 0.7844)  2 Ru 2.71, 8 Ir 2.72-2.84, 2 W 2.77

(9)
## Pu2C2N (PBE-GGA)

Data for a relaxed Pu2C2N crystal.

- calculated density (g cm⁻³) = 12.20
- E_form (uncorrected) (eV/atom) = -0.4239
- calculated total energy (eV/atom) = -11.511

abc: 3.6193 6.4313 6.6749
angles: 106.16 105.73 90.00
Last column: nearest neighbours and their distance in Å.
Sites, in units of the cell vectors:
C (0.9612, 0.5506, 0.4225)  1 C 1.34
C (0.5387, 0.9494, 0.5775)  1 C 1.34
C (0.0388, 0.4494, 0.5775)  1 C 1.34
C (0.4613, 0.0506, 0.4225)  1 C 1.34
Pu (0.3605, 0.6520, 0.2210)  4 C 2.42-2.52, 3 N 2.49-2.56
Pu (0.6395, 0.3480, 0.7790)  4 C 2.42-2.52, 3 N 2.49-2.56
Pu (0.8605, 0.1520, 0.2210)  4 C 2.42-2.52, 3 N 2.49-2.56
Pu (0.1395, 0.8480, 0.7790)  4 C 2.42-2.52, 3 N 2.49-2.56
N (0.7498, 0.7500, 0.0000)  6 Pu 2.49-2.56
N (0.2502, 0.2500, 0.0000)  6 Pu 2.49-2.56

(10)
## YCr2In (PBE-GGA)

Data for a relaxed YCr2In crystal.

- calculated density (g cm⁻³) = 6.17
- DFT formation energy (kcal/mol of atoms) = 7.9
- calculated total energy (eV/atom) = -6.771

abc: 4.4649 4.4644 6.1057
angles: 42.87 90.00 90.00
Last column: nearest neighbours and their distance in Å.
Sites, in units of the cell vectors:
Y (0.0000, 0.0000, 0.5000)  8 Cr 3.05, 4 In 3.16
Cr (0.0000, 0.0000, 0.0000)  4 Y 3.05, 4 In 3.05, 4 Cr 3.16
Cr (0.5000, 0.5000, 0.0000)  4 In 3.05, 4 Y 3.05, 4 Cr 3.16
In (0.5000, 0.5000, 0.5000)  8 Cr 3.05, 4 Y 3.16

(11)
## Ba7SnBi2O2 (PBE-GGA)

Data for a relaxed Ba7SnBi2O2 crystal.

- calculated density (g cm⁻³) = 5.79
- E_form (uncorrected) (eV/atom) = -1.4026
- calculated total energy (eV/atom) = -4.331

abc: 5.4471 5.4471 15.2903
angles: 79.74 79.74 90.00
Last column: nearest neighbours and their distance in Å.
Sites, in units of the cell vectors:
Bi (0.8204, 0.8204, 0.3593)  9 Ba 3.59-3.89
Bi (0.1796, 0.1796, 0.6407)  9 Ba 3.59-3.89
Ba (0.0940, 0.5940, 0.8119)  2 O 2.72
Ba (0.3009, 0.3009, 0.3982)  1 O 3.07
Ba (0.5940, 0.0940, 0.8119)  2 O 2.72
Ba (0.4060, 0.9060, 0.1881)  2 O 2.72
Ba (0.6991, 0.6991, 0.6018)  1 O 3.07
Ba (0.9060, 0.4060, 0.1881)  2 O 2.72
Ba (0.5000, 0.5000, 0.0000)  2 O 2.82
Sn (0.0000, 0.0000, 0.0000)  12 Ba 3.85-3.89
O (0.4048, 0.4048, 0.1904)  5 Ba 2.72-2.82
O (0.5952, 0.5952, 0.8096)  5 Ba 2.72-2.82

(12)
## YHfZr2 (PBE-GGA)

Data for a relaxed YHfZr2 crystal.

- calculated density (g cm⁻³) = 7.56
- offset from the most stable computed form (meV/atom) = 14
- DFT formation energy (kcal/mol of atoms) = 2.5
- calculated total energy (eV/atom) = -8.268

abc: 3.2589 3.2589 10.9104
angles: 81.41 81.41 60.00
Last column: nearest neighbours and their distance in Å.
Sites, in units of the cell vectors:
Zr (0.7451, 0.7451, 0.7648)  3 Hf 3.15, 6 Zr 3.26, 3 Y 3.41
Zr (0.2549, 0.2549, 0.2352)  3 Hf 3.15, 6 Zr 3.26, 3 Y 3.41
Hf (0.0000, 0.0000, 0.0000)  6 Zr 3.15, 6 Hf 3.26
Y (0.5000, 0.5000, 0.5000)  6 Y 3.26, 6 Zr 3.41